# 1
# SCAN Os3CI, PBEsol geometry
# * formation energy without anion corrections: 1.4477 eV/atom
data_Os3CI
_space_group_name_H-M_alt 'P 1'
_space_group_IT_number 1
_cell_length_a 4.152
_cell_length_b 4.152
_cell_length_c 4.152
_cell_angle_alpha 90.00
_cell_angle_beta 90.00
_cell_angle_gamma 90.00
loop_
_space_group_symop_operation_xyz
'x,y,z'
loop_
_atom_site_label
_atom_site_type_symbol
_atom_site_fract_x
_atom_site_fract_y
_atom_site_fract_z
I1 I 0.500 0.500 0.500
C1 C 0.000 0.000 0.000
Os1 Os 0.000 0.500 0.000
Os2 Os 0.000 0.000 0.500
Os3 Os 0.500 0.000 0.000

# 2
# SCAN NiMo2Cl, PBEsol geometry
# * formation energy without anion corrections: 0.7621 eV/atom
# * offset from the most stable computed form: 399 meV/atom
data_NiMo2Cl
_space_group_name_H-M_alt 'P 1'
_space_group_IT_number 1
_cell_length_a 2.743
_cell_length_b 4.815
_cell_length_c 4.815
_cell_angle_alpha 112.81
_cell_angle_beta 100.15
_cell_angle_gamma 100.15
loop_
_space_group_symop_operation_xyz
'x,y,z'
loop_
_atom_site_label
_atom_site_type_symbol
_atom_site_fract_x
_atom_site_fract_y
_atom_site_fract_z
Ni1 Ni 0.500 0.000 0.000
Mo1 Mo 0.000 0.500 0.000
Mo2 Mo 0.000 0.000 0.500
Cl1 Cl 0.500 0.500 0.500

# 3
# SCAN ZrTaAg, PBEsol geometry
# * DFT total energy: -42.79 eV/atom
data_ZrTaAg
_space_group_name_H-M_alt 'P 1'
_space_group_IT_number 1
_cell_length_a 2.883
_cell_length_b 2.883
_cell_length_c 6.972
_cell_angle_alpha 101.93
_cell_angle_beta 101.93
_cell_angle_gamma 90.00
loop_
_space_group_symop_operation_xyz
'x,y,z'
loop_
_atom_site_label
_atom_site_type_symbol
_atom_site_fract_x
_atom_site_fract_y
_atom_site_fract_z
Ag1 Ag 0.004 0.004 0.009
Ta1 Ta 0.665 0.665 0.329
Zr1 Zr 0.331 0.331 0.662

Calculated density of states at the Fermi level, 0.62; 1.02; 0.66 states/eV/atom (same order as the records).